No. 1
3
Lattice="0.0000 3.0635 3.0635 3.0635 0.0000 3.0635 3.0635 3.0635 0.0000" Properties=species:S:1:pos:R:3 comment="YZnNi | Alexandria via LeMat-Bulk | PBEsol | optimized geometry" e_tot_ev_per_atom=-5.09 m_tot_mub_per_atom=0.00 pbc="T T T"
Y 0.0000 0.0000 0.0000
Zn 3.0635 3.0635 3.0635
Ni 4.5952 4.5952 4.5952

---

No. 2
3
Lattice="4.1623 0.0000 0.0000 -2.0811 3.6046 0.0000 0.0000 0.0000 3.5577" Properties=species:S:1:pos:R:3 comment="YZnNi | Alexandria via LeMat-Bulk | PBEsol | optimized geometry" e_tot_ev_per_atom=-5.24 m_tot_mub_per_atom=0.00 pbc="T T T"
Y 0.0000 0.0000 0.0000
Zn 0.0000 2.4031 1.7789
Ni 2.0811 1.2015 1.7789

---

No. 3
4
Lattice="4.6083 0.0000 0.0000 0.0000 4.6083 0.0000 0.0000 0.0000 3.2085" Properties=species:S:1:pos:R:3 comment="YZrNi2 | Alexandria via LeMat-Bulk | PBEsol | optimized geometry" e_tot_ev_per_atom=-7.38 m_tot_mub_per_atom=0.00 pbc="T T T"
Y 0.0000 0.0000 0.0000
Zr 2.3042 2.3042 0.0000
Ni 0.0000 2.3042 1.6043
Ni 2.3042 0.0000 1.6043

---

No. 4
4
Lattice="-2.0736 2.0736 5.1066 2.0736 -2.0736 5.1066 2.0736 2.0736 -5.1066" Properties=species:S:1:pos:R:3 comment="Y2ZrNi | Alexandria via LeMat-Bulk | PBEsol | optimized geometry" e_tot_ev_per_atom=-7.03 m_tot_mub_per_atom=0.00 polymorph_energy_ev_per_atom=0.190 pbc="T T T"
Y 0.0000 0.0000 0.0000
Y 0.0000 2.0736 2.5533
Zr 0.0000 0.0000 5.1066
Ni 2.0736 0.0000 2.5533

---

No. 5
4
Lattice="-1.7461 2.5118 5.0808 1.7461 -2.5118 5.0808 1.7461 2.5118 -5.0808" Properties=species:S:1:pos:R:3 comment="Y2ZrNi | Alexandria via LeMat-Bulk | PBEsol | optimized geometry" e_tot_ev_per_atom=-7.22 m_tot_mub_per_atom=0.00 polymorph_energy_ev_per_atom=0.000 pbc="T T T"
Y 0.0000 0.0000 2.0502
Y 0.0000 0.0000 8.1115
Zr 0.0000 2.5118 0.0000
Ni 1.7461 0.0000 0.0000

---

No. 6
4
Lattice="4.1880 0.0000 0.0000 0.0000 1.7024 4.9078 0.0000 -1.7024 4.9078" Properties=species:S:1:pos:R:3 comment="YZrNi2 | Alexandria via LeMat-Bulk | PBEsol | optimized geometry" e_tot_ev_per_atom=-7.46 m_tot_mub_per_atom=0.00 pbc="T T T"
Y 0.0000 0.0000 0.0000
Zr 2.0940 0.0000 2.7269
Ni 0.0000 0.0000 7.1149
Ni 2.0940 0.0000 5.6039

---

No. 7
6
Lattice="0.0000 3.4809 3.4809 3.4809 0.0000 3.4809 3.4809 3.4809 0.0000" Properties=species:S:1:pos:R:3 comment="YZrNi4 | Alexandria via LeMat-Bulk | PBEsol | optimized geometry" e_tot_ev_per_atom=-7.17 m_tot_mub_per_atom=0.00 pbc="T T T"
Y 0.0000 0.0000 0.0000
Zr 1.7405 1.7405 1.7405
Ni 4.3492 2.6127 2.6127
Ni 2.6127 4.3492 2.6127
Ni 2.6127 2.6127 4.3492
Ni 4.3492 4.3492 4.3492

---

No. 8
4
Lattice="-1.9156 1.9156 4.5883 1.9156 -1.9156 4.5883 1.9156 1.9156 -4.5883" Properties=species:S:1:pos:R:3 comment="YZrNi2 | Alexandria via LeMat-Bulk | PBEsol | optimized geometry" e_tot_ev_per_atom=-7.16 m_tot_mub_per_atom=0.00 pbc="T T T"
Y 0.0000 0.0000 0.0000
Zr 0.0000 1.9156 2.2942
Ni 1.9156 0.0000 2.2942
Ni 0.0000 0.0000 4.5883